[1]
A relaxed Sm2TePb crystal, computed with GGA-PBE.

Geometry as POSCAR:
```
Sm2TePb
1.0
2.223 1.284 7.692
-2.223 1.284 7.692
0.000 -2.567 7.692
Sm Te Pb
2 1 1
Direct
0.000 0.000 0.000
0.177 0.177 0.177
0.420 0.420 0.420
0.589 0.589 0.589
```

Computed properties:
Uncorrected formation energy = -0.91 eV per atom
E above lowest polymorph = 116 meV per atom
D(E_F) = 0.5947 states/eV per atom

=====

[2]
A relaxed LiCe2Zn3 crystal, computed with GGA-PBE.

Geometry as POSCAR:
```
LiCe2Zn3
1.0
2.837 1.638 4.297
-2.837 1.638 4.297
0.000 -3.276 4.297
Li Ce Zn
1 2 3
Direct
0.000 0.000 0.000
0.386 0.386 0.386
0.614 0.614 0.614
0.000 0.000 0.500
0.000 0.500 0.000
0.500 0.000 0.000
```

Computed properties:
Electronic total energy = -3.110 eV per atom
D(E_F) = 1.8467 states/eV per atom

=====

Number 1: M_tot 0.0 μB/f.u.. Number 2: M_tot 1.3 μB/f.u..